Density functional theory data (PBE+U) for an optimized crystal structure of TlMoPbO4.

a = 6.507 Å, b = 6.212 Å, c = 9.774 Å
α = 90.00°, β = 123.83°, γ = 90.00°
Positions (direct):
Pb: 0.013 0.750 0.561
O: 0.116 0.980 0.195
O: 0.589 0.750 0.326
O: 0.884 0.480 0.805
Tl: 0.708 0.750 0.917
Tl: 0.292 0.250 0.083
O: 0.656 0.250 0.490
O: 0.884 0.020 0.805
O: 0.411 0.250 0.674
O: 0.116 0.520 0.195
O: 0.344 0.750 0.510
Pb: 0.987 0.250 0.439
Mo: 0.299 0.750 0.310
Mo: 0.701 0.250 0.690

Properties
The value obtained for the energy is -5.938 eV per atom. As for the theoretical density: 5.783 g/cm³.